No. 1
# PBE Ta3CoP, relaxed
# Energy (hartree per atom): -0.3289
# Energy above the most stable polymorph in this dataset (eV per atom): 0.000
# Formation enthalpy at 0 K (eV per atom): 0.67
# Volume (Å³/atom): 18.6
data_Ta3CoP
_space_group_name_H-M_alt 'P m -3 m'
_space_group_IT_number 221
_space_group_name_Hall '-P 4 2 3'
_cell_length_a 4.5306
_cell_length_b 4.5306
_cell_length_c 4.5306
_cell_angle_alpha 90.00
_cell_angle_beta 90.00
_cell_angle_gamma 90.00
loop_
_atom_site_label
_atom_site_fract_x
_atom_site_fract_y
_atom_site_fract_z
Ta1 0.0000 0.0000 0.5000
Co1 0.5000 0.5000 0.5000
P1 0.0000 0.0000 0.0000

***

No. 2
# PBE AgPdN2F, relaxed
# Energy (hartree per atom): -0.1577
# Energy above the most stable polymorph in this dataset (eV per atom): 0.000
# Volume (Å³/atom): 15.8
data_AgPdN2F
_space_group_name_H-M_alt 'P 4/m m m'
_space_group_IT_number 123
_space_group_name_Hall '-P 4 2'
_cell_length_a 3.7621
_cell_length_b 3.7621
_cell_length_c 5.5790
_cell_angle_alpha 90.00
_cell_angle_beta 90.00
_cell_angle_gamma 90.00
loop_
_atom_site_label
_atom_site_fract_x
_atom_site_fract_y
_atom_site_fract_z
Ag1 0.0000 0.0000 0.0000
Pd1 0.5000 0.5000 0.5000
N1 0.0000 0.5000 0.5000
F1 0.5000 0.5000 0.0000

***

No. 3
# PBE PrSm2Cd, relaxed
# Energy (hartree per atom): -0.1393
# Energy above the most stable polymorph in this dataset (eV per atom): 0.144
# Formation enthalpy at 0 K (eV per atom): -0.01
# Volume (Å³/atom): 30.7
data_PrSm2Cd
_space_group_name_H-M_alt 'F m -3 m'
_space_group_IT_number 225
_space_group_name_Hall '-F 4 2 3'
_cell_length_a 7.8859
_cell_length_b 7.8859
_cell_length_c 7.8859
_cell_angle_alpha 90.00
_cell_angle_beta 90.00
_cell_angle_gamma 90.00
loop_
_atom_site_label
_atom_site_fract_x
_atom_site_fract_y
_atom_site_fract_z
Pr1 0.0000 0.0000 0.0000
Sm1 0.2500 0.2500 0.2500
Cd1 0.0000 0.0000 0.5000

***

No. 4
# PBE PuWN3, relaxed
# Energy (hartree per atom): -0.4137
# Volume (Å³/atom): 15.2
data_PuWN3
_space_group_name_H-M_alt 'C 1 2/c 1'
_space_group_IT_number 15
_cell_length_a 10.7903
_cell_length_b 9.5602
_cell_length_c 6.2343
_cell_angle_alpha 90.00
_cell_angle_beta 109.29
_cell_angle_gamma 90.00
loop_
_space_group_symop_operation_xyz
'x,y,z'
'-x,-y,-z'
'-x,y,-z+1/2'
'x,-y,z+1/2'
'x+1/2,y+1/2,z'
'-x+1/2,-y+1/2,-z'
'-x+1/2,y+1/2,-z+1/2'
'x+1/2,-y+1/2,z+1/2'
loop_
_atom_site_label
_atom_site_fract_x
_atom_site_fract_y
_atom_site_fract_z
Pu1 0.0000 0.0887 0.2500
Pu2 0.0000 0.3027 0.7500
W1 0.2067 0.4093 0.2506
N1 0.1088 0.1090 0.6473
N2 0.1297 0.2419 0.1430
N3 0.1409 0.4804 0.4825

***

No. 5
# PBE CaBeSi2Ru2, relaxed
# Energy (hartree per atom): -0.2327
# Volume (Å³/atom): 15.7
data_CaBeSi2Ru2
_space_group_name_H-M_alt 'P 4/m m m'
_space_group_IT_number 123
_space_group_name_Hall '-P 4 2'
_cell_length_a 4.2400
_cell_length_b 4.2400
_cell_length_c 5.2506
_cell_angle_alpha 90.00
_cell_angle_beta 90.00
_cell_angle_gamma 90.00
loop_
_atom_site_label
_atom_site_fract_x
_atom_site_fract_y
_atom_site_fract_z
Ca1 0.0000 0.0000 0.0000
Be1 0.0000 0.0000 0.5000
Si1 0.5000 0.5000 0.2408
Ru1 0.0000 0.5000 0.5000

***

No. 6
# PBE NdPuHg6, relaxed
# Energy (hartree per atom): -0.1112
# Formation enthalpy at 0 K (eV per atom): -0.41
# Volume (Å³/atom): 26.0
data_NdPuHg6
_space_group_name_H-M_alt 'A m m 2'
_space_group_IT_number 38
_cell_length_a 5.2557
_cell_length_b 6.7680
_cell_length_c 11.7046
_cell_angle_alpha 90.00
_cell_angle_beta 90.00
_cell_angle_gamma 90.00
loop_
_space_group_symop_operation_xyz
'x,y,z'
'-x,-y,z'
'-x,y,z'
'x,-y,z'
'x,y+1/2,z+1/2'
'-x,-y+1/2,z+1/2'
'-x,y+1/2,z+1/2'
'x,-y+1/2,z+1/2'
loop_
_atom_site_label
_atom_site_fract_x
_atom_site_fract_y
_atom_site_fract_z
Nd1 0.0000 0.0000 0.0000
Pu1 0.5000 0.0000 0.6695
Hg1 0.0000 0.0000 0.5025
Hg2 0.0000 0.2484 0.2511
Hg3 0.5000 0.0000 0.1713
Hg4 0.5000 0.2425 0.4166

***

No. 7
# PBE PmGdMgSc, relaxed
# Energy (hartree per atom): -0.2453
# Formation enthalpy at 0 K (eV per atom): 0.02
# Volume (Å³/atom): 28.5
data_PmGdMgSc
_space_group_name_H-M_alt 'F -4 3 m'
_space_group_IT_number 216
_space_group_name_Hall 'F -4 2 3'
_cell_length_a 7.6939
_cell_length_b 7.6939
_cell_length_c 7.6939
_cell_angle_alpha 90.00
_cell_angle_beta 90.00
_cell_angle_gamma 90.00
loop_
_atom_site_label
_atom_site_fract_x
_atom_site_fract_y
_atom_site_fract_z
Pm1 0.0000 0.0000 0.0000
Gd1 0.0000 0.0000 0.5000
Mg1 0.2500 0.2500 0.2500
Sc1 0.2500 0.2500 0.7500

***

No. 8
# PBE LiV2Sb, relaxed
# Energy (hartree per atom): -0.2047
# Volume (Å³/atom): 16.4
data_LiV2Sb
_space_group_name_H-M_alt 'I -4 2 d'
_space_group_IT_number 122
_space_group_name_Hall 'I -4 2bw'
_cell_length_a 7.1089
_cell_length_b 7.1089
_cell_length_c 5.1840
_cell_angle_alpha 90.00
_cell_angle_beta 90.00
_cell_angle_gamma 90.00
loop_
_atom_site_label
_atom_site_fract_x
_atom_site_fract_y
_atom_site_fract_z
Li1 0.0000 0.0000 0.0000
V1 0.2422 0.2500 0.1250
Sb1 0.0000 0.0000 0.5000

***

No. 9
# PBE K3Sn8Au3, relaxed
# Energy (hartree per atom): -0.1259
# Energy above the most stable polymorph in this dataset (eV per atom): 0.000
# Formation enthalpy at 0 K (eV per atom): -0.20
# Volume (Å³/atom): 27.7
data_K3Sn8Au3
_space_group_name_H-M_alt 'C 1 2/m 1'
_space_group_IT_number 12
_cell_length_a 17.8126
_cell_length_b 5.0468
_cell_length_c 10.5964
_cell_angle_alpha 90.00
_cell_angle_beta 125.63
_cell_angle_gamma 90.00
loop_
_space_group_symop_operation_xyz
'x,y,z'
'-x,-y,-z'
'-x,y,-z'
'x,-y,z'
'x+1/2,y+1/2,z'
'-x+1/2,-y+1/2,-z'
'-x+1/2,y+1/2,-z'
'x+1/2,-y+1/2,z'
loop_
_atom_site_label
_atom_site_fract_x
_atom_site_fract_y
_atom_site_fract_z
K1 0.0000 0.0000 0.0000
K2 0.2079 0.5000 0.7017
Sn1 0.0003 0.5000 0.3262
Sn2 0.1486 0.0000 0.4344
Sn3 0.1505 0.5000 0.0364
Sn4 0.1523 0.0000 0.8687
Au1 0.0000 0.0000 0.5000
Au2 0.1561 0.5000 0.3101

***

No. 10
# PBE HgSeBr2, relaxed
# Energy (hartree per atom): -0.0502
# Energy above the most stable polymorph in this dataset (eV per atom): 0.595
# Volume (Å³/atom): 25.2
data_HgSeBr2
_space_group_name_H-M_alt 'P 4/m m m'
_space_group_IT_number 123
_space_group_name_Hall '-P 4 2'
_cell_length_a 5.3201
_cell_length_b 5.3201
_cell_length_c 3.5618
_cell_angle_alpha 90.00
_cell_angle_beta 90.00
_cell_angle_gamma 90.00
loop_
_atom_site_label
_atom_site_fract_x
_atom_site_fract_y
_atom_site_fract_z
Hg1 0.0000 0.0000 0.0000
Se1 0.5000 0.5000 0.0000
Br1 0.0000 0.5000 0.5000

***

No. 11
# PBE UFeSi2, relaxed
# Energy (hartree per atom): -0.2975
# Volume (Å³/atom): 15.7
data_UFeSi2
_space_group_name_H-M_alt 'C m c m'
_space_group_IT_number 63
_space_group_name_Hall '-C 2c 2'
_cell_length_a 3.8218
_cell_length_b 16.7283
_cell_length_c 3.9207
_cell_angle_alpha 90.00
_cell_angle_beta 90.00
_cell_angle_gamma 90.00
loop_
_atom_site_label
_atom_site_fract_x
_atom_site_fract_y
_atom_site_fract_z
U1 0.0000 0.1097 0.2500
Fe1 0.0000 0.3293 0.2500
Si1 0.0000 0.2505 0.7500
Si2 0.0000 0.4628 0.2500

***

No. 12
# PBE SrHf2Rh2, relaxed
# Energy (hartree per atom): -0.2821
# Energy above the most stable polymorph in this dataset (eV per atom): 0.186
# Formation enthalpy at 0 K (eV per atom): -0.42
# Volume (Å³/atom): 21.1
data_SrHf2Rh2
_space_group_name_H-M_alt 'P 4/m b m'
_space_group_IT_number 127
_space_group_name_Hall '-P 4 2ab'
_cell_length_a 8.1489
_cell_length_b 8.1489
_cell_length_c 3.1795
_cell_angle_alpha 90.00
_cell_angle_beta 90.00
_cell_angle_gamma 90.00
loop_
_atom_site_label
_atom_site_fract_x
_atom_site_fract_y
_atom_site_fract_z
Sr1 0.0000 0.0000 0.0000
Hf1 0.1419 0.3581 0.5000
Rh1 0.1389 0.6389 0.0000

***

No. 13
# PBE RbInIr3, relaxed
# Energy (hartree per atom): -0.1583
# Energy above the most stable polymorph in this dataset (eV per atom): 0.000
# Formation enthalpy at 0 K (eV per atom): 1.75
# Volume (Å³/atom): 26.0
data_RbInIr3
_space_group_name_H-M_alt 'P m -3 m'
_space_group_IT_number 221
_space_group_name_Hall '-P 4 2 3'
_cell_length_a 5.0669
_cell_length_b 5.0669
_cell_length_c 5.0669
_cell_angle_alpha 90.00
_cell_angle_beta 90.00
_cell_angle_gamma 90.00
loop_
_atom_site_label
_atom_site_fract_x
_atom_site_fract_y
_atom_site_fract_z
Rb1 0.0000 0.0000 0.0000
In1 0.5000 0.5000 0.5000
Ir1 0.0000 0.5000 0.5000

***

No. 14
# PBE Cd2BiPb8, relaxed
# Energy (hartree per atom): -0.1136
# Energy above the most stable polymorph in this dataset (eV per atom): 0.077
# Formation enthalpy at 0 K (eV per atom): 0.12
# Volume (Å³/atom): 33.4
data_Cd2BiPb8
_space_group_name_H-M_alt 'C 1 2/m 1'
_space_group_IT_number 12
_cell_length_a 15.0046
_cell_length_b 8.8042
_cell_length_c 5.7661
_cell_angle_alpha 90.00
_cell_angle_beta 105.51
_cell_angle_gamma 90.00
loop_
_space_group_symop_operation_xyz
'x,y,z'
'-x,-y,-z'
'-x,y,-z'
'x,-y,z'
'x+1/2,y+1/2,z'
'-x+1/2,-y+1/2,-z'
'-x+1/2,y+1/2,-z'
'x+1/2,-y+1/2,z'
loop_
_atom_site_label
_atom_site_fract_x
_atom_site_fract_y
_atom_site_fract_z
Cd1 0.1340 0.0000 0.0097
Bi1 0.0000 0.0000 0.5000
Pb1 0.0732 0.3007 0.2807
Pb2 0.1330 0.5000 0.8255
Pb3 0.2299 0.0000 0.5627

***

No. 15
# PBE ErLuCu2, relaxed
# Energy (hartree per atom): -0.1694
# Formation enthalpy at 0 K (eV per atom): -0.29
# Volume (Å³/atom): 19.9
data_ErLuCu2
_space_group_name_H-M_alt 'P 4/m m m'
_space_group_IT_number 123
_space_group_name_Hall '-P 4 2'
_cell_length_a 4.8400
_cell_length_b 4.8400
_cell_length_c 3.3938
_cell_angle_alpha 90.00
_cell_angle_beta 90.00
_cell_angle_gamma 90.00
loop_
_atom_site_label
_atom_site_fract_x
_atom_site_fract_y
_atom_site_fract_z
Er1 0.0000 0.0000 0.0000
Lu1 0.5000 0.5000 0.0000
Cu1 0.0000 0.5000 0.5000

***

No. 16
# PBE Rb2HRu, relaxed
# Energy (hartree per atom): -0.1091
# Energy above the most stable polymorph in this dataset (eV per atom): 0.000
# Volume (Å³/atom): 32.1
data_Rb2HRu
_space_group_name_H-M_alt 'I -4 2 d'
_space_group_IT_number 122
_space_group_name_Hall 'I -4 2bw'
_cell_length_a 12.0201
_cell_length_b 12.0201
_cell_length_c 3.5523
_cell_angle_alpha 90.00
_cell_angle_beta 90.00
_cell_angle_gamma 90.00
loop_
_atom_site_label
_atom_site_fract_x
_atom_site_fract_y
_atom_site_fract_z
Rb1 0.0490 0.2500 0.1250
H1 0.0000 0.0000 0.0000
Ru1 0.0000 0.0000 0.5000

***

No. 17
# PBE La3PrCo, relaxed
# Energy (hartree per atom): -0.1994
# Energy above the most stable polymorph in this dataset (eV per atom): 0.000
# Formation enthalpy at 0 K (eV per atom): -0.09
# Volume (Å³/atom): 32.6
data_La3PrCo
_space_group_name_H-M_alt 'C 1 2/m 1'
_space_group_IT_number 12
_cell_length_a 12.2078
_cell_length_b 8.6562
_cell_length_c 8.6691
_cell_angle_alpha 90.00
_cell_angle_beta 134.62
_cell_angle_gamma 90.00
loop_
_space_group_symop_operation_xyz
'x,y,z'
'-x,-y,-z'
'-x,y,-z'
'x,-y,z'
'x+1/2,y+1/2,z'
'-x+1/2,-y+1/2,-z'
'-x+1/2,y+1/2,-z'
'x+1/2,-y+1/2,z'
loop_
_atom_site_label
_atom_site_fract_x
_atom_site_fract_y
_atom_site_fract_z
La1 0.0400 0.0000 0.3304
La2 0.2494 0.2893 0.7909
Pr1 0.0444 0.5000 0.2516
Co1 0.2437 0.0000 0.8600

***

No. 18
# PBE Rb2BaSnI6, relaxed
# Energy (hartree per atom): -0.1074
# Energy above the most stable polymorph in this dataset (eV per atom): 0.072
# Volume (Å³/atom): 55.5
data_Rb2BaSnI6
_space_group_name_H-M_alt 'F m -3 m'
_space_group_IT_number 225
_space_group_name_Hall '-F 4 2 3'
_cell_length_a 13.0452
_cell_length_b 13.0452
_cell_length_c 13.0452
_cell_angle_alpha 90.00
_cell_angle_beta 90.00
_cell_angle_gamma 90.00
loop_
_atom_site_label
_atom_site_fract_x
_atom_site_fract_y
_atom_site_fract_z
Rb1 0.2500 0.2500 0.2500
Ba1 0.0000 0.0000 0.0000
Sn1 0.0000 0.0000 0.5000
I1 0.0000 0.0000 0.2585

***

No. 19
# PBE MgNiSb2, relaxed
# Energy (hartree per atom): -0.1401
# Volume (Å³/atom): 20.6
data_MgNiSb2
_space_group_name_H-M_alt 'I -4 m 2'
_space_group_IT_number 119
_space_group_name_Hall 'I -4 -2'
_cell_length_a 4.0834
_cell_length_b 4.0834
_cell_length_c 9.8812
_cell_angle_alpha 90.00
_cell_angle_beta 90.00
_cell_angle_gamma 90.00
loop_
_atom_site_label
_atom_site_fract_x
_atom_site_fract_y
_atom_site_fract_z
Mg1 0.0000 0.0000 0.0000
Ni1 0.0000 0.5000 0.7500
Sb1 0.0000 0.0000 0.5000
Sb2 0.0000 0.5000 0.2500

***

No. 20
# PBE K4Sm3PbO8, relaxed
# Energy (hartree per atom): -0.2259
# Volume (Å³/atom): 17.6
data_K4Sm3PbO8
_space_group_name_H-M_alt 'R -3 m'
_space_group_IT_number 166
_space_group_name_Hall '-R 3 2"'
_cell_length_a 7.1787
_cell_length_b 7.1787
_cell_length_c 18.9415
_cell_angle_alpha 90.00
_cell_angle_beta 90.00
_cell_angle_gamma 120.00
loop_
_atom_site_label
_atom_site_fract_x
_atom_site_fract_y
_atom_site_fract_z
K1 0.0000 0.0000 0.0000
K2 0.0000 0.5000 0.0000
Sm1 0.0000 0.5000 0.5000
Pb1 0.0000 0.0000 0.5000
O1 0.0000 0.0000 0.2292
O2 0.0084 0.5042 0.7683

***

No. 21
# PBE Ca4Tl5Cd, relaxed
# Energy (hartree per atom): -0.0885
# Formation enthalpy at 0 K (eV per atom): -0.33
# Volume (Å³/atom): 29.1
data_Ca4Tl5Cd
_space_group_name_H-M_alt 'C 1 2/m 1'
_space_group_IT_number 12
_cell_length_a 16.5860
_cell_length_b 5.4597
_cell_length_c 6.6925
_cell_angle_alpha 90.00
_cell_angle_beta 106.26
_cell_angle_gamma 90.00
loop_
_space_group_symop_operation_xyz
'x,y,z'
'-x,-y,-z'
'-x,y,-z'
'x,-y,z'
'x+1/2,y+1/2,z'
'-x+1/2,-y+1/2,-z'
'-x+1/2,y+1/2,-z'
'x+1/2,-y+1/2,z'
loop_
_atom_site_label
_atom_site_fract_x
_atom_site_fract_y
_atom_site_fract_z
Ca1 0.0940 0.0000 0.3664
Ca2 0.1959 0.5000 0.8008
Tl1 0.0000 0.5000 0.0000
Tl2 0.1052 0.0000 0.8814
Tl3 0.2055 0.5000 0.3124
Cd1 0.0000 0.5000 0.5000

***

No. 22
# PBE KPd2Au3, relaxed
# Energy (hartree per atom): -0.1353
# Formation enthalpy at 0 K (eV per atom): -0.13
# Volume (Å³/atom): 23.2
data_KPd2Au3
_space_group_name_H-M_alt 'C m c m'
_space_group_IT_number 63
_space_group_name_Hall '-C 2c 2'
_cell_length_a 11.0713
_cell_length_b 9.0831
_cell_length_c 5.5279
_cell_angle_alpha 90.00
_cell_angle_beta 90.00
_cell_angle_gamma 90.00
loop_
_atom_site_label
_atom_site_fract_x
_atom_site_fract_y
_atom_site_fract_z
K1 0.0000 0.1780 0.2500
Pd1 0.2068 0.5000 0.0000
Au1 0.0000 0.4212 0.7500
Au2 0.2101 0.2385 0.7500

***

No. 23
# PBE NaAc2Pb3Se6, relaxed
# Energy (hartree per atom): -0.1691
# Volume (Å³/atom): 31.4
data_NaAc2Pb3Se6
_space_group_name_H-M_alt 'C 1 2/m 1'
_space_group_IT_number 12
_cell_length_a 19.1813
_cell_length_b 4.6407
_cell_length_c 8.6624
_cell_angle_alpha 90.00
_cell_angle_beta 102.54
_cell_angle_gamma 90.00
loop_
_space_group_symop_operation_xyz
'x,y,z'
'-x,-y,-z'
'-x,y,-z'
'x,-y,z'
'x+1/2,y+1/2,z'
'-x+1/2,-y+1/2,-z'
'-x+1/2,y+1/2,-z'
'x+1/2,-y+1/2,z'
loop_
_atom_site_label
_atom_site_fract_x
_atom_site_fract_y
_atom_site_fract_z
Na1 0.0000 0.0000 0.0000
Ac1 0.1629 0.5000 0.3182
Pb1 0.0000 0.0000 0.5000
Pb2 0.1609 0.5000 0.8460
Se1 0.0013 0.5000 0.2520
Se2 0.1683 0.0000 0.0749
Se3 0.1681 0.0000 0.5668

***

No. 24
# PBE MgPtRh2, relaxed
# Energy (hartree per atom): -0.2150
# Formation enthalpy at 0 K (eV per atom): -0.27
# Volume (Å³/atom): 15.1
data_MgPtRh2
_space_group_name_H-M_alt 'P m m m'
_space_group_IT_number 47
_cell_length_a 2.8332
_cell_length_b 4.6068
_cell_length_c 4.6271
_cell_angle_alpha 90.00
_cell_angle_beta 90.00
_cell_angle_gamma 90.00
loop_
_space_group_symop_operation_xyz
'x,y,z'
'-x,-y,-z'
'-x,-y,z'
'x,y,-z'
'x,-y,-z'
'-x,y,z'
'-x,y,-z'
'x,-y,z'
loop_
_atom_site_label
_atom_site_fract_x
_atom_site_fract_y
_atom_site_fract_z
Mg1 0.0000 0.0000 0.0000
Pt1 0.5000 0.5000 0.0000
Rh1 0.0000 0.5000 0.5000
Rh2 0.5000 0.0000 0.5000